1.
Below is a geometry-optimized DyTm3Te6 structure, with properties calculated at the PBE level.

```
20
Lattice="6.356 3.670 5.118 -6.356 3.670 5.118 0.000 -7.339 5.118" Properties=species:S:1:pos:R:3 pbc="T T T"
Dy 0.000 0.000 0.000
Dy 0.000 0.000 7.678
Tm -3.225 -3.043 7.165
Tm -4.248 1.271 8.190
Tm 1.023 -4.314 8.190
Tm -1.023 4.314 7.165
Tm 4.248 -1.271 7.165
Tm 3.225 3.043 8.190
Te -5.530 -1.499 8.305
Te -1.467 -5.539 7.050
Te -2.580 -0.173 6.036
Te -4.063 4.040 7.050
Te 1.440 -2.147 6.036
Te -1.140 -2.320 9.319
Te 1.140 2.320 6.036
Te -1.440 2.147 9.319
Te 4.063 -4.040 8.305
Te 2.580 0.173 9.319
Te 1.467 5.539 8.305
Te 5.530 1.499 7.050
```

Values from the calculation:
- space group = No. 148
- ΔE_f (raw) (kJ/mol of atoms) = -125


2.
Below is a geometry-optimized CdInRh structure, with properties calculated at the PBE level.

```
3
Lattice="-1.574 1.574 5.868 1.574 -1.574 5.868 1.574 1.574 -5.868" Properties=species:S:1:pos:R:3 pbc="T T T"
Cd 0.000 0.000 0.000
In 0.000 0.000 8.334
Rh 0.000 0.000 4.084
```

Values from the calculation:
- space group = No. 107


3.
Below is a geometry-optimized Pm3ErGa8 structure, with properties calculated at the PBE level.

```
12
Lattice="2.777 1.603 9.184 -2.777 1.603 9.184 0.000 -3.206 9.184" Properties=species:S:1:pos:R:3 pbc="T T T"
Pm 0.000 0.000 0.000
Pm 0.000 0.000 3.430
Pm 0.000 0.000 13.787
Er 0.000 0.000 17.187
Ga -1.391 -0.803 10.873
Ga 0.000 -1.605 6.332
Ga -1.390 0.802 6.332
Ga 0.000 0.000 8.593
Ga 1.391 -0.803 10.873
Ga 0.000 1.606 10.873
Ga 1.390 0.802 6.332
Ga 0.000 0.000 22.387
```

Values from the calculation:
- space group = No. 160


4.
Below is a geometry-optimized DyThSc2P4 structure, with properties calculated at the PBE level.

```
8
Lattice="6.760 0.000 0.000 0.000 3.943 0.000 -2.288 0.000 6.420" Properties=species:S:1:pos:R:3 pbc="T T T"
Dy 0.000 0.000 0.000
Th -1.144 1.971 3.210
Sc 2.236 0.000 3.210
Sc 3.380 1.971 0.000
P 1.229 1.971 1.621
P 0.091 0.000 4.885
P 4.381 0.000 1.534
P 3.243 1.971 4.799
```

Values from the calculation:
- space group = No. 10


5.
Below is a geometry-optimized Hf5Mn2Pb2 structure, with properties calculated at the PBE level.

```
18
Lattice="7.499 -3.633 0.000 7.499 3.633 0.000 0.000 0.000 7.006" Properties=species:S:1:pos:R:3 pbc="T T T"
Hf 0.000 0.000 0.000
Hf 5.848 2.333 4.737
Hf 5.848 1.299 1.234
Hf 9.149 2.333 4.737
Hf 9.149 1.299 1.234
Hf 7.499 0.000 3.503
Hf 5.848 -1.299 5.773
Hf 5.848 -2.333 2.269
Hf 9.149 -1.299 5.773
Hf 9.149 -2.333 2.269
Mn 7.499 2.821 2.716
Mn 7.499 0.812 6.219
Mn 7.499 -0.812 0.788
Mn 7.499 -2.821 4.291
Pb 3.373 0.000 0.000
Pb 4.126 0.000 3.503
Pb 10.872 0.000 3.503
Pb 11.624 0.000 0.000
```

Values from the calculation:
- space group = No. 64


6.
Below is a geometry-optimized Rb3Ni5H12 structure, with properties calculated at the PBE level.

```
80
Lattice="-6.006 6.006 6.006 6.006 -6.006 6.006 6.006 6.006 -6.006" Properties=species:S:1:pos:R:3 pbc="T T T"
Rb 3.003 1.502 0.000
Rb 6.006 3.003 -1.502
Rb 1.502 0.000 3.003
Rb 7.508 0.000 3.003
Rb 0.000 3.003 1.502
Rb 3.003 -1.502 6.006
Rb 3.003 7.508 0.000
Rb 6.006 3.003 4.505
Rb -1.502 6.006 3.003
Rb 4.505 6.006 3.003
Rb 0.000 3.003 7.508
Rb 3.003 4.505 6.006
Ni 0.000 0.000 0.000
Ni 3.003 3.003 -3.003
Ni 3.003 -3.003 3.003
Ni 6.006 0.000 0.000
Ni 9.010 1.502 0.000
Ni 6.006 -3.003 4.505
Ni 4.505 6.006 -3.003
Ni 4.505 0.000 3.003
Ni 3.003 4.505 0.000
Ni 6.006 3.003 1.502
Ni -3.003 3.003 3.003
Ni 0.000 6.006 0.000
Ni 0.000 0.000 6.006
Ni 3.003 3.003 3.003
Ni 0.000 3.003 4.505
Ni 3.003 1.502 6.006
Ni 1.502 6.006 3.003
Ni 1.502 0.000 9.010
Ni 0.000 9.010 1.502
Ni -3.003 4.505 6.006
H 4.557 -3.255 3.688
H 10.459 0.684 -0.252
H 8.757 2.319 -1.449
H 6.259 -4.452 5.322
H 7.560 0.684 0.252
H 7.456 -2.751 3.688
H 3.688 4.557 -3.255
H 5.322 -0.252 1.554
H 5.322 6.259 -4.452
H 3.688 -1.449 3.255
H 3.255 3.688 -1.449
H 5.754 1.554 0.684
H 9.262 2.319 1.449
H 5.754 -1.554 5.322
H 5.322 5.754 -1.554
H 3.688 1.449 2.751
H 3.688 7.456 -2.751
H 5.322 0.252 4.452
H 1.554 5.322 -0.252
H 7.456 2.751 2.319
H 2.751 3.688 1.449
H 6.259 4.452 0.684
H 4.452 5.322 0.252
H 4.557 3.255 2.319
H 1.449 2.751 3.688
H 1.554 0.684 5.754
H -0.252 1.554 5.322
H 3.255 2.319 4.557
H -1.449 3.255 3.688
H 4.452 0.684 6.259
H 0.684 5.754 1.554
H 2.319 -1.449 8.757
H 2.319 4.557 3.255
H 0.684 0.252 7.560
H 0.252 7.560 0.684
H -3.255 3.688 4.557
H 0.252 4.452 5.322
H 2.751 2.319 7.456
H 2.319 7.456 2.751
H 0.684 -0.252 10.459
H 0.684 6.259 4.452
H 2.319 1.449 9.262
H -1.449 8.757 2.319
H -1.554 5.322 5.754
H -0.252 10.459 0.684
H -2.751 3.688 7.456
H -4.452 5.322 6.259
H 1.449 9.262 2.319
```

Values from the calculation:
- space group = No. 230


7.
Below is a geometry-optimized Cs2RbCdS structure, with properties calculated at the PBE level.

```
5
Lattice="6.805 0.000 0.000 0.000 6.805 0.000 0.000 0.000 6.416" Properties=species:S:1:pos:R:3 pbc="T T T"
Cs 0.000 3.402 0.000
Cs 3.402 0.000 0.000
Rb 0.000 0.000 3.208
Cd 3.402 3.402 3.208
S 0.000 0.000 0.000
```

Values from the calculation:
- space group = No. 123
- ΔE_f (raw) (kJ/mol of atoms) = -46


8.
Below is a geometry-optimized ErTmTlAu structure, with properties calculated at the PBE level.

```
4
Lattice="0.000 3.666 3.666 3.666 0.000 3.666 3.666 3.666 0.000" Properties=species:S:1:pos:R:3 pbc="T T T"
Er 0.000 0.000 0.000
Tm 3.666 3.666 3.666
Tl 5.499 5.499 5.499
Au 1.833 1.833 1.833
```

Values from the calculation:
- space group = No. 216


Total DFT energy (no corrections) for the records above, in order: -99.56; -11.43; -49.78; -58.55; -151.86; -273.08; -10.12; -16.94 eV/cell
Total moment for the records above, in order: 0.000; 0.000; 0.000; 0.000; 0.000; 0.005; 0.000; 0.000 μB per cell